Record 1
# RbTbCdS3 PBE optimized geometry
# total energy = -4.50 eV/atom
data_RbTbCdS3
_chemical_formula_sum 'Rb4 Tb4 Cd4 S12'
_space_group_name_H-M_alt 'C 1 2/m 1'
_space_group_IT_number 12
_space_group_name_Hall '-C 2y'
_cell_length_a 17.241
_cell_length_b 4.110
_cell_length_c 9.084
_cell_angle_alpha 90.00
_cell_angle_beta 103.01
_cell_angle_gamma 90.00
loop_
_atom_site_label
_atom_site_type_symbol
_atom_site_fract_x
_atom_site_fract_y
_atom_site_fract_z
Rb1 Rb 0.147 0.000 0.064
Tb1 Tb 0.169 0.000 0.581
Cd1 Cd 0.004 0.500 0.721
S1 S 0.000 0.000 0.500
S2 S 0.000 0.500 0.000
S3 S 0.161 0.500 0.774
S4 S 0.167 0.500 0.372

***

Record 2
# Au3I3N2 PBE optimized geometry
# total energy = -2.73 eV/atom
data_Au3I3N2
_chemical_formula_sum 'Au6 I6 N4'
_space_group_name_H-M_alt 'I m m m'
_space_group_IT_number 71
_space_group_name_Hall '-I 2 2'
_cell_length_a 4.148
_cell_length_b 5.481
_cell_length_c 16.705
_cell_angle_alpha 90.00
_cell_angle_beta 90.00
_cell_angle_gamma 90.00
loop_
_atom_site_label
_atom_site_type_symbol
_atom_site_fract_x
_atom_site_fract_y
_atom_site_fract_z
Au1 Au 0.000 0.000 0.000
Au2 Au 0.000 0.000 0.161
I1 I 0.000 0.000 0.500
I2 I 0.000 0.500 0.175
N1 N 0.000 0.000 0.368

***

Record 3
# YEr2Sc3AgTe2 PBE optimized geometry
# total energy = -5.51 eV/atom
data_YEr2Sc3AgTe2
_chemical_formula_sum 'Y2 Er4 Sc6 Ag2 Te4'
_space_group_name_H-M_alt 'A m m 2'
_space_group_IT_number 38
_space_group_name_Hall 'A 2 -2'
_cell_length_a 3.964
_cell_length_b 13.941
_cell_length_c 8.063
_cell_angle_alpha 90.00
_cell_angle_beta 90.00
_cell_angle_gamma 90.00
loop_
_atom_site_label
_atom_site_type_symbol
_atom_site_fract_x
_atom_site_fract_y
_atom_site_fract_z
Y1 Y 0.000 0.000 0.000
Er1 Er 0.000 0.199 0.598
Sc1 Sc 0.500 0.000 0.650
Sc2 Sc 0.500 0.126 0.274
Ag1 Ag 0.000 0.000 0.401
Te1 Te 0.500 0.167 0.899